No. 1
Density functional theory data (GGA-PBE) for a relaxed LiCuOs2O8 crystal.

Geometry as extended XYZ:
```
12
Lattice="-2.393 -5.618 0.453 3.757 -1.676 -4.535 2.416 2.567 5.007" Properties=species:S:1:pos:R:3 pbc="T T T"
O 0.192 -3.169 3.479
O 3.256 -1.252 1.219
Os 0.682 -3.647 -2.041
Li 3.428 -1.378 -0.785
Cu 0.000 0.000 0.000
O 0.181 -1.749 0.937
O 1.940 -2.568 -1.443
O 1.513 -0.411 3.347
O 0.851 -5.225 -1.273
Os 0.353 -3.349 1.709
O -0.918 -4.447 1.101
O 1.956 -4.032 1.321
```

- SG: I-4m2
- Uncorrected formation energy: -21.4 kcal/mol of atoms
- Size of the total moment: 2.08 Bohr magnetons per cell

***

No. 2
Density functional theory data (GGA-PBE) for a relaxed Li5CuP2O8 crystal.

Geometry as extended XYZ:
```
32
Lattice="5.305 -0.028 -0.003 -0.047 6.223 0.005 -0.030 0.002 10.001" Properties=species:S:1:pos:R:3 pbc="T T T"
Cu 1.833 1.795 0.116
P 4.343 6.140 9.988
P 0.888 3.125 7.411
Li 3.564 1.522 2.492
Li 3.554 1.557 7.385
Cu 4.096 3.018 9.919
O 1.606 4.387 2.008
O 1.637 1.847 6.922
Li 3.524 4.627 2.476
O 1.628 4.414 6.933
O 3.558 4.887 9.462
O 3.634 1.256 4.475
O 0.955 3.146 4.132
O 4.726 3.095 6.883
O 3.597 4.928 4.457
Li 1.718 1.542 4.950
O 0.543 0.011 4.482
Li 0.765 6.209 2.474
O 0.504 6.137 9.498
Li 1.648 4.620 9.991
O 1.631 1.810 2.124
P 0.894 3.125 2.581
O 0.850 3.142 8.975
P 4.326 6.201 4.994
O 3.668 1.153 9.342
O 4.708 3.075 2.125
Li 0.833 0.016 7.473
O 4.300 6.192 6.552
Li 1.695 4.722 4.976
Li 4.435 3.101 4.913
Li 3.539 4.609 7.433
O 4.291 6.194 1.537
```

- SG: P1
- Uncorrected formation energy: -50.2 kcal/mol of atoms
- Size of the total moment: 0.15 Bohr magnetons per cell
- Polymorph energy (0 for the lowest one): 0.000 eV/f.u.

***

No. 3
Density functional theory data (GGA-PBE) for a relaxed Li3Cu2P5O16 crystal.

Geometry as extended XYZ:
```
52
Lattice="5.107 0.000 -0.009 0.000 7.056 0.000 -0.371 0.000 17.499" Properties=species:S:1:pos:R:3 pbc="T T T"
O 3.828 4.354 12.348
O 1.529 1.354 17.196
O 0.160 0.597 10.023
O 0.908 2.703 5.142
O 3.022 1.354 9.043
O 4.013 2.703 3.599
Li 1.211 2.233 9.405
O 0.865 4.776 6.271
Cu 1.077 5.841 10.287
O 3.207 5.703 0.293
O 2.764 3.161 6.826
Li 3.525 4.824 8.085
O 0.345 6.459 1.273
P 0.944 6.150 7.176
O 4.531 2.654 1.078
O 0.679 2.280 15.020
P 3.660 3.268 2.135
O 3.212 0.062 2.434
O 4.346 4.402 9.828
P 3.792 0.906 10.314
P -0.093 1.743 4.375
O 3.871 2.280 11.219
Cu 3.474 5.841 15.952
O 3.930 6.098 14.041
Li 2.461 0.152 4.370
P -0.278 5.313 13.124
O 4.576 6.459 7.467
Li 2.275 6.904 13.120
O 0.621 6.098 12.198
O 0.205 4.402 16.411
O 0.806 0.958 3.448
O 1.709 0.062 6.306
Li 1.396 4.824 0.655
Cu 3.659 1.215 7.203
O 4.115 0.958 5.292
O 0.723 4.354 13.891
O 4.057 4.776 2.469
Cu 1.262 1.215 1.537
P 3.475 3.788 10.885
O 4.391 0.597 16.216
O 2.578 3.895 15.575
O 2.158 3.161 1.914
P 0.759 0.906 15.925
O 3.027 6.994 11.184
O 1.714 5.703 8.447
P 3.977 6.150 1.565
O 0.390 2.654 7.662
O 1.524 6.994 15.056
P 1.076 3.788 15.355
O 1.972 3.895 10.664
P 1.261 3.268 6.605
Li 3.340 2.233 16.835
```

- SG: P2/c
- Uncorrected formation energy: -45.0 kcal/mol of atoms
- Size of the total moment: 4.01 Bohr magnetons per cell

***

No. 4
Density functional theory data (GGA-PBE) for a relaxed Li2CuP4O12 crystal.

Geometry as extended XYZ:
```
76
Lattice="9.488 0.000 0.000 0.000 9.487 0.000 0.000 0.000 10.178" Properties=species:S:1:pos:R:3 pbc="T T T"
Li 0.917 4.805 6.963
O 3.556 6.351 9.592
O 5.864 6.216 0.226
O 2.372 1.218 3.463
P 9.193 2.031 6.125
O 2.372 3.550 4.508
O 7.116 3.525 8.552
P 5.040 2.031 6.125
O 2.372 8.293 0.581
Cu 2.372 4.554 2.891
P 2.372 2.809 9.045
O 5.932 3.135 0.585
P 5.040 6.774 9.141
P 7.116 1.934 3.956
Li 5.661 4.682 3.215
P 2.372 7.552 6.221
O 7.116 8.161 1.322
O 5.172 8.257 9.005
O 7.116 3.418 3.767
O 4.174 3.618 2.220
O 3.624 8.014 5.315
O 5.315 1.125 7.309
O 1.120 8.014 5.315
O 1.188 6.351 9.592
P 0.296 2.712 1.036
O 7.116 1.024 2.769
P 4.448 7.455 4.053
O 8.369 6.216 0.226
O 7.116 5.767 2.320
P 7.116 6.677 1.132
P 7.116 7.441 5.474
O 0.570 3.618 2.220
O 8.301 7.879 4.504
P 7.116 2.698 9.793
O 7.116 8.268 6.714
Li 5.661 9.425 1.874
O 3.624 3.271 9.952
O 7.116 5.937 5.670
O 5.932 7.879 4.504
Li 8.571 9.425 1.874
P 2.372 6.788 0.385
O 9.060 8.257 9.005
Li 3.827 4.805 6.963
O 3.556 1.608 5.674
O 2.372 5.962 1.626
Cu 2.372 9.298 2.198
O 2.372 6.069 6.410
O 7.116 1.193 9.597
O 1.120 3.271 9.952
O 4.316 5.972 3.916
Cu 7.116 4.932 7.287
O 1.188 1.608 5.674
O 2.372 3.720 7.857
O 8.918 1.125 7.309
P 9.193 6.774 9.141
Li 3.827 0.062 8.303
O 5.315 5.868 7.957
O 8.301 3.135 0.585
Li 8.571 4.682 3.215
O 0.428 1.229 1.173
O 8.918 5.868 7.957
O 0.570 8.361 2.869
O 9.060 3.514 6.262
O 4.316 1.229 1.173
P 2.372 2.045 4.704
P 0.296 7.455 4.053
O 0.428 5.972 3.916
O 4.174 8.361 2.869
Cu 7.116 0.189 7.979
O 2.372 8.463 7.409
P 4.448 2.712 1.036
O 2.372 1.326 8.856
Li 0.917 0.062 8.303
O 5.172 3.514 6.262
O 8.369 1.472 4.863
O 5.864 1.472 4.863
```

- SG: Pnma
- Uncorrected formation energy: -46.5 kcal/mol of atoms
- Size of the total moment: 4.00 Bohr magnetons per cell
- Polymorph energy (0 for the lowest one): 0.501 eV/f.u.

***

No. 5
Density functional theory data (GGA-PBE) for a relaxed Li2CuP4O12 crystal.

Geometry as extended XYZ:
```
76
Lattice="7.450 0.000 0.207 0.000 11.101 0.000 -2.231 0.000 12.318" Properties=species:S:1:pos:R:3 pbc="T T T"
O 3.047 1.292 7.708
P 1.675 7.899 11.836
O 4.671 2.045 3.475
O 7.147 7.747 0.613
O 2.172 9.808 4.816
O 5.474 7.708 10.438
O 3.555 3.505 9.634
O -0.674 6.639 8.101
O 4.914 9.911 11.606
Li 1.180 7.186 8.877
Cu 5.859 8.375 8.637
P 3.545 3.201 0.688
O -0.254 3.393 2.086
O 6.029 6.740 5.447
O 4.246 8.450 4.978
P -0.556 2.748 7.119
O 0.170 0.961 3.454
O 0.549 9.055 9.050
O 4.265 1.763 0.960
P 0.559 2.802 0.961
O -0.476 10.994 10.388
O 2.070 7.313 5.406
P -0.182 0.273 2.142
O 2.089 2.899 1.388
P 2.430 2.349 6.847
P 5.402 10.828 10.383
O 2.920 8.914 7.152
O 1.057 6.843 10.975
O -0.811 2.197 5.753
O 5.894 4.462 4.423
P 4.661 8.299 11.564
O 3.150 3.787 7.119
P -1.297 5.277 8.300
O -1.370 2.158 8.245
O 5.050 10.140 9.071
P 5.776 8.352 5.405
Li 2.295 9.465 2.718
Li 3.176 10.516 8.197
O 4.035 7.737 0.993
O 0.306 1.190 0.919
O 1.185 3.363 11.531
O 3.115 5.659 3.754
O 3.220 0.109 2.611
O 2.104 5.442 8.770
O 0.955 9.338 11.564
Li 2.925 1.636 9.806
P 0.843 10.065 10.116
O 2.300 2.187 5.373
O -0.945 4.589 9.613
P 2.790 8.752 5.678
O 6.031 8.904 6.771
O -1.927 3.354 11.912
O 2.000 10.992 9.913
Li 4.291 6.135 2.039
Cu 6.974 8.276 2.478
O 6.590 8.943 4.280
O 0.441 10.012 1.942
O 1.665 7.596 2.891
Li 4.040 3.914 3.647
O 5.696 0.107 2.136
O 6.165 6.512 2.912
O -0.809 4.361 7.078
P 4.377 1.035 2.409
P 6.517 5.823 4.224
O 4.163 4.258 1.549
O 0.973 2.651 7.547
O 4.779 1.089 10.582
O 3.131 8.201 11.137
P 3.262 4.515 8.567
Li 0.928 4.966 10.486
O 4.581 5.444 8.295
O 0.639 5.657 4.230
P 1.958 6.586 3.957
Li 2.044 0.585 4.327
Cu -0.639 2.725 3.888
Cu -1.755 2.825 10.047
```

- SG: P2_1/c
- Uncorrected formation energy: -46.7 kcal/mol of atoms
- Size of the total moment: 3.71 Bohr magnetons per cell
- Polymorph energy (0 for the lowest one): 0.364 eV/f.u.

***

No. 6
Density functional theory data (GGA-PBE) for a relaxed Li3CuP2O8 crystal.

Geometry as extended XYZ:
```
28
Lattice="-2.753 -4.231 0.618 5.426 -3.824 -1.540 2.571 -0.287 9.602" Properties=species:S:1:pos:R:3 pbc="T T T"
O 1.122 -5.736 2.295
O 3.593 -3.286 5.170
O 3.504 -6.201 3.793
Li 4.510 -4.342 3.780
O 3.843 -4.019 1.928
O 0.403 -3.484 5.654
Li 1.782 -2.487 4.651
O -0.717 -3.684 0.653
O 2.798 -6.044 0.032
O -1.028 -3.591 3.536
Li 0.363 -3.920 2.225
P -1.005 -3.678 5.131
Cu 2.982 -6.157 1.935
O 4.884 -4.121 7.106
P 2.953 -2.786 1.675
Li 1.277 -3.963 7.347
P 4.030 -2.866 6.587
Li 3.986 -5.847 6.715
P 3.214 -7.245 -0.965
O 5.168 -4.289 -1.116
Li 0.452 -2.294 -0.170
Cu 3.277 -4.133 -0.894
O 2.144 -5.832 7.196
O 1.809 -2.626 2.667
O 1.043 -0.678 5.048
O 5.352 -7.073 7.248
O 2.825 -2.730 7.526
O 2.299 -2.941 0.244
```

- SG: P1
- Uncorrected formation energy: -44.9 kcal/mol of atoms
- Size of the total moment: 2.05 Bohr magnetons per cell
- Polymorph energy (0 for the lowest one): 0.000 eV/f.u.

***

No. 7
Density functional theory data (GGA-PBE) for a relaxed Li3CuP2O8 crystal.

Geometry as extended XYZ:
```
28
Lattice="4.990 0.000 0.000 0.000 6.795 -0.016 0.000 0.020 10.089" Properties=species:S:1:pos:R:3 pbc="T T T"
Li 2.168 3.413 6.609
O 3.091 5.133 6.173
Li 2.794 0.015 1.546
O 1.900 5.123 1.128
P 0.382 5.078 0.969
Li 4.668 3.387 8.452
O 2.474 1.696 5.619
O 2.153 0.471 3.409
O 0.011 5.178 9.516
O 0.256 6.358 6.691
O 2.838 0.481 8.454
Li 0.322 3.377 3.408
O 2.254 3.004 3.436
O 4.326 1.630 3.868
P 4.608 5.088 6.013
O 0.664 1.640 8.913
P 2.769 1.742 4.125
Li 2.196 0.025 6.590
O 4.734 6.348 1.647
O 2.517 1.686 0.574
O 0.237 3.819 6.593
Cu 0.292 6.771 3.506
O 2.736 3.014 8.480
Li 2.823 3.404 1.564
P 2.222 1.752 9.169
Cu 4.698 6.781 8.550
O 4.979 5.168 4.472
O 4.753 3.809 1.548
```

- SG: Pc
- Uncorrected formation energy: -44.8 kcal/mol of atoms
- Size of the total moment: 4.16 Bohr magnetons per cell
- Polymorph energy (0 for the lowest one): 0.047 eV/f.u.

***

No. 8
Density functional theory data (GGA-PBE) for a relaxed Li2Cu3P4O14 crystal.

Geometry as extended XYZ:
```
46
Lattice="8.938 0.000 0.000 0.000 7.102 0.065 0.000 2.846 8.819" Properties=species:S:1:pos:R:3 pbc="T T T"
P 2.461 2.558 6.152
O 7.905 9.510 8.095
O 5.359 4.372 5.426
O 5.502 8.087 3.686
O 6.038 5.843 2.708
P 4.327 4.870 6.425
O 4.729 4.625 7.897
O 7.076 2.252 5.631
O 0.890 6.999 7.867
O 3.982 6.356 6.244
O 8.678 3.202 3.487
P 6.930 8.813 7.142
O 3.436 1.861 5.198
P 8.796 6.501 6.868
O 7.368 7.266 7.117
O 1.862 7.696 3.253
O 7.935 7.400 3.176
O 3.466 1.126 1.298
P 0.142 3.447 2.015
Cu 7.873 4.186 8.810
O 5.472 8.822 7.586
O 8.451 5.015 7.050
Cu 5.534 2.763 4.401
P 4.611 5.078 2.459
O 2.607 9.119 7.662
O 2.899 4.105 6.176
Cu 0.000 1.423 4.409
P 2.008 1.135 1.742
O 4.956 3.592 2.640
Li 0.530 6.161 3.357
O 8.048 2.950 1.016
O 1.003 2.549 5.707
O 0.260 6.746 5.396
Li 3.939 7.583 7.766
O 1.033 0.438 0.789
O 4.209 5.323 0.987
O 0.487 4.933 1.834
Cu 3.404 7.185 4.483
O 6.331 0.829 1.222
Li 8.408 3.788 5.527
Li 4.999 2.365 1.117
O 1.570 2.682 1.766
Cu 1.065 5.762 0.074
O 3.579 5.576 3.458
P 6.477 7.390 2.732
Cu 4.469 0.000 0.000
```

- SG: P2_1/c
- Uncorrected formation energy: -41.4 kcal/mol of atoms
- Size of the total moment: 5.93 Bohr magnetons per cell
- Polymorph energy (0 for the lowest one): 0.000 eV/f.u.

***

No. 9
Density functional theory data (GGA-PBE) for a relaxed Li2CuPO crystal.

Geometry as extended XYZ:
```
5
Lattice="-0.509 -3.563 0.550 4.385 -0.739 -0.726 0.665 0.453 3.551" Properties=species:S:1:pos:R:3 pbc="T T T"
Cu 2.270 -1.925 1.688
Li -0.255 -1.782 0.275
Li 0.332 0.227 1.776
P 2.193 -0.369 -0.363
O 0.000 0.000 0.000
```

- SG: P4/mmm
- Uncorrected formation energy: -14.5 kcal/mol of atoms
- Size of the total moment: 0.00 Bohr magnetons per cell

***

No. 10
Density functional theory data (GGA-PBE) for a relaxed Li3Cu3P2O8 crystal.

Geometry as extended XYZ:
```
16
Lattice="5.132 -0.001 0.048 -0.004 5.363 -0.081 0.048 -0.114 6.265" Properties=species:S:1:pos:R:3 pbc="T T T"
Cu 5.058 4.077 3.049
Cu 2.391 1.176 0.034
P 2.637 0.838 3.195
O 2.144 1.642 1.934
O 2.113 4.740 3.094
Li 2.584 3.552 4.653
Li 0.036 1.635 4.686
O 4.612 3.554 4.929
O 2.065 1.608 4.437
O 4.699 0.441 6.227
O 4.188 0.860 3.220
O 1.571 4.209 6.206
P 5.161 4.326 6.183
Li 2.501 3.612 1.509
O 4.460 3.734 1.167
Cu 0.083 1.862 1.635
```

- SG: P1
- Uncorrected formation energy: -39.8 kcal/mol of atoms
- Size of the total moment: 0.00 Bohr magnetons per cell
- Polymorph energy (0 for the lowest one): 0.112 eV/f.u.